Mg2P after structural relaxation. Source: Alexandria via LeMat-Bulk, functional PBE.

Properties
Volume: 19.0 A^3/atom
Fermi-level density of states: 2.85 states/eV per cell
Formation energy from the elements: -0.330 eV per atom
Electronic total energy: -3.196 eV per atom

POSCAR file:
```
Mg2P
1.0
4.1079 0.0000 0.0000
0.0000 4.1079 0.0000
0.0000 0.0000 6.7527
Mg P
4 2
direct
0.2500 0.2500 0.1442
0.2500 0.7500 0.5000
0.7500 0.2500 0.5000
0.7500 0.7500 0.8558
0.2500 0.2500 0.7567
0.7500 0.7500 0.2433
```

Mg2P after structural relaxation. Source: Alexandria via LeMat-Bulk, functional PBE.

Properties
Volume: 18.9 A^3/atom
Fermi-level density of states: 3.75 states/eV per cell
Formation energy from the elements: -0.330 eV per atom
Electronic total energy: -3.196 eV per atom

POSCAR file:
```
Mg2P
1.0
6.9984 0.0000 0.0000
-3.4992 6.0608 0.0000
0.0000 0.0000 4.0030
Mg P
6 3
direct
0.0000 0.2628 0.0000
0.0000 0.5912 0.5000
0.2628 0.0000 0.0000
0.4088 0.4088 0.5000
0.5912 0.0000 0.5000
0.7372 0.7372 0.0000
0.0000 0.0000 0.5000
0.3333 0.6667 0.0000
0.6667 0.3333 0.0000
```

Mg4P3 after structural relaxation. Source: Alexandria via LeMat-Bulk, functional PBE.

Properties
Volume: 18.1 A^3/atom
Fermi-level density of states: 2.59 states/eV per cell
Formation energy from the elements: 0.012 eV per atom
Electronic total energy: -3.218 eV per atom

POSCAR file:
```
Mg4P3
1.0
5.1813 0.0000 0.0000
-2.5906 4.4871 0.0000
0.0000 0.0000 5.4531
Mg P
4 3
direct
0.0000 0.0000 0.2497
0.0000 0.0000 0.7503
0.3333 0.6667 0.0000
0.6667 0.3333 0.0000
0.0000 0.5000 0.5000
0.5000 0.0000 0.5000
0.5000 0.5000 0.5000
```

Mg2P after structural relaxation. Source: Alexandria via LeMat-Bulk, functional PBE.

Properties
Volume: 21.3 A^3/atom
Fermi-level density of states: 1.35 states/eV per cell
Formation energy from the elements: -0.347 eV per atom
Electronic total energy: -3.214 eV per atom

POSCAR file:
```
Mg2P
1.0
5.8234 -1.9463 0.0000
5.8234 1.9463 0.0000
-3.3679 0.0000 5.6303
Mg P
4 2
direct
0.1131 0.1131 0.3905
0.3496 0.3496 0.9560
0.6504 0.6504 0.0440
0.8869 0.8869 0.6095
0.3134 0.3134 0.3107
0.6866 0.6866 0.6893
```

MgP5 after structural relaxation. Source: Alexandria via LeMat-Bulk, functional PBE.

Properties
Volume: 16.9 A^3/atom
Fermi-level density of states: 3.42 states/eV per cell
Formation energy from the elements: 0.542 eV per atom
Electronic total energy: -4.232 eV per atom

POSCAR file:
```
MgP5
1.0
0.0000 3.7045 3.7045
3.7045 0.0000 3.7045
3.7045 3.7045 0.0000
Mg P
1 5
direct
0.0000 0.0000 0.0000
0.3889 0.3889 0.3889
0.3889 0.3889 0.8333
0.3889 0.8333 0.3889
0.7500 0.7500 0.7500
0.8333 0.3889 0.3889
```

MgP3 after structural relaxation. Source: Alexandria via LeMat-Bulk, functional PBE.

Properties
Volume: 15.8 A^3/atom
Fermi-level density of states: 2.16 states/eV per cell
Formation energy from the elements: 0.332 eV per atom
Electronic total energy: -4.124 eV per atom

POSCAR file:
```
MgP3
1.0
3.9806 0.0000 0.0000
0.0000 3.9806 0.0000
0.0000 0.0000 3.9806
Mg P
1 3
direct
0.0000 0.0000 0.0000
0.0000 0.5000 0.5000
0.5000 0.0000 0.5000
0.5000 0.5000 0.0000
```

MgP8 after structural relaxation. Source: Alexandria via LeMat-Bulk, functional PBE.

Properties
Volume: 26.5 A^3/atom
Fermi-level density of states: 2.37 states/eV per cell
Formation energy from the elements: 0.335 eV per atom
Electronic total energy: -4.651 eV per atom

POSCAR file:
```
MgP8
1.0
-5.3309 5.3309 2.0944
5.3309 -5.3309 2.0944
5.3309 5.3309 -2.0944
Mg P
1 8
direct
0.0000 0.0000 0.0000
0.0000 0.3999 0.3999
0.0000 0.6001 0.6001
0.3955 0.3955 0.7909
0.3955 0.6045 0.0000
0.3999 0.0000 0.3999
0.6001 0.0000 0.6001
0.6045 0.3955 0.0000
0.6045 0.6045 0.2091
```

Mg2P after structural relaxation. Source: Alexandria via LeMat-Bulk, functional PBE.

Properties
Volume: 19.0 A^3/atom
Fermi-level density of states: 1.40 states/eV per cell
Formation energy from the elements: -0.363 eV per atom
Electronic total energy: -3.229 eV per atom

POSCAR file:
```
Mg2P
1.0
1.8925 -5.3892 0.0000
1.8925 5.3892 0.0000
0.0000 0.0000 5.5878
Mg P
4 2
direct
0.0000 0.0000 0.0000
0.0000 0.0000 0.5000
0.2966 0.7034 0.7500
0.7034 0.2966 0.2500
0.3739 0.6261 0.2500
0.6261 0.3739 0.7500
```

Look up the volume of the fourth one.
21.3 A^3/atom

The highest Fermi-level density of states belongs to which entry?
number 2